(1)
Tm6TeRu | Alexandria via LeMat-Bulk | PBE | relaxed; formation energy without anion corrections = -0.281 eV per atom; crystal system = monoclinic; energy = -5.1867 eV per atom; size of the total moment = 0.0 μB/cell
1.0
-2.5932 -3.6009 -4.6733
3.6124 -3.0767 4.3607
-5.7507 1.2020 3.8806
Ru Tm Te
1 6 1
direct
0.5000 0.5000 0.5000
0.2505 0.2505 0.7171
0.5405 0.9040 0.7218
0.9040 0.5405 0.7218
0.7495 0.7495 0.2829
0.0960 0.4595 0.2782
0.4595 0.0960 0.2782
0.0000 0.0000 0.0000

=====

(2)
TmTeRu | Alexandria via LeMat-Bulk | PBE | relaxed; formation energy without anion corrections = -0.275 eV per atom; crystal system = tetragonal; energy = -5.9047 eV per atom; size of the total moment = 0.0 μB/cell
1.0
4.6719 0.0000 0.0000
0.0000 8.0362 0.0000
0.0000 0.0000 8.0362
Te Ru Tm
4 4 4
direct
0.5000 0.3067 0.0359
0.5000 0.6933 0.9641
0.0000 0.9641 0.3067
0.0000 0.0359 0.6933
0.0000 0.7436 0.8365
0.5000 0.1635 0.7436
0.0000 0.2564 0.1635
0.5000 0.8365 0.2564
0.5000 0.2105 0.4068
0.5000 0.7895 0.5932
0.0000 0.5932 0.2105
0.0000 0.4068 0.7895

=====

(3)
Tm4Te3Ru | Alexandria via LeMat-Bulk | PBE | relaxed; formation energy without anion corrections = -0.997 eV per atom; crystal system = orthorhombic; energy = -5.5702 eV per atom; size of the total moment = 0.0 μB/cell
1.0
-2.8878 0.4003 -2.9511
5.1913 -1.3433 -5.2623
-3.0358 -6.5494 2.0823
Tm Te Ru
4 3 1
direct
0.5000 0.7833 0.2167
0.0000 0.7866 0.7866
0.5000 0.2167 0.7833
0.0000 0.2134 0.2134
0.0000 0.5000 0.0000
0.0000 0.0000 0.5000
0.5000 0.5000 0.5000
0.5000 0.0000 0.0000

=====

(4)
Tm5Te2Ru | Alexandria via LeMat-Bulk | PBE | relaxed; formation energy without anion corrections = -0.440 eV per atom; crystal system = orthorhombic; energy = -5.1799 eV per atom; size of the total moment = 0.0 μB/cell; excess energy over the best structure of this formula in the dataset = 306.7 meV per atom
1.0
5.1332 0.0000 0.0000
-2.5666 8.1708 0.0000
0.0000 0.0000 13.2421
Te Tm Ru
4 10 2
direct
0.9083 0.8167 0.3866
0.9083 0.8167 0.1134
0.0917 0.1833 0.8866
0.0917 0.1833 0.6134
0.2614 0.5227 0.7500
0.9049 0.8099 0.8844
0.9049 0.8099 0.6156
0.3075 0.6151 0.4240
0.6925 0.3849 0.5760
0.0951 0.1901 0.3844
0.6925 0.3849 0.9240
0.3075 0.6151 0.0760
0.7386 0.4773 0.2500
0.0951 0.1901 0.1156
0.7856 0.5712 0.7500
0.2144 0.4288 0.2500

=====

(5)
VTe2Ru | Alexandria via LeMat-Bulk | PBE | relaxed; formation energy without anion corrections = 0.431 eV per atom; crystal system = trigonal; energy = -5.7387 eV per atom; size of the total moment = 3.3 μB/cell; excess energy over the best structure of this formula in the dataset = 229.8 meV per atom
1.0
-1.4420 -6.0317 6.2468
-0.0782 -8.0825 3.4856
2.2173 -6.2779 5.7580
Te V Ru
2 1 1
direct
0.8947 0.8947 0.8947
0.1053 0.1053 0.1053
0.0000 0.0000 0.0000
0.5000 0.5000 0.5000

=====

(6)
VTe2Ru | Alexandria via LeMat-Bulk | PBE | relaxed; formation energy without anion corrections = 0.288 eV per atom; crystal system = tetragonal; energy = -5.8810 eV per atom; size of the total moment = 4.6 μB/cell; excess energy over the best structure of this formula in the dataset = 87.5 meV per atom
1.0
-5.3715 -2.4369 -0.7899
1.4859 -1.4689 -5.5722
0.2258 -7.3847 -1.1709
Te Ru V
4 2 2
direct
0.3750 0.3617 0.7500
0.1117 0.6250 0.2500
0.6383 0.1250 0.2500
0.8750 0.8883 0.7500
0.0000 0.0000 0.0000
0.7500 0.2500 0.5000
0.2500 0.7500 0.5000
0.5000 0.5000 0.0000

=====

(7)
V2TeRu | Alexandria via LeMat-Bulk | PBE | relaxed; formation energy without anion corrections = 0.663 eV per atom; crystal system = tetragonal; energy = -7.0007 eV per atom; size of the total moment = 7.9 μB/cell
1.0
5.7591 0.0000 0.0000
0.0000 5.7591 0.0000
2.8795 2.8795 5.8816
V Te Ru
4 2 2
direct
0.5744 0.1250 0.2500
0.1756 0.6250 0.2500
0.8750 0.8244 0.7500
0.3750 0.4256 0.7500
0.0000 0.0000 0.0000
0.7500 0.2500 0.5000
0.5000 0.5000 0.0000
0.2500 0.7500 0.5000

=====

(8)
V2Te6Ru | Alexandria via LeMat-Bulk | PBE | relaxed; formation energy without anion corrections = -0.239 eV per atom; crystal system = monoclinic; energy = -5.3901 eV per atom; size of the total moment = 0.0 μB/cell
1.0
-4.1857 0.8677 -4.5314
-1.9063 -9.3702 0.8198
-5.6143 3.8347 6.7736
Te Ru V
12 2 4
direct
0.0657 0.9602 0.6825
0.4317 0.9992 0.2145
0.4804 0.3366 0.4645
0.5657 0.6825 0.9602
0.0683 0.7855 0.0008
0.5683 0.0008 0.7855
0.9804 0.4645 0.3366
0.0196 0.5355 0.6634
0.4343 0.3175 0.0398
0.5196 0.6634 0.5355
0.9317 0.2145 0.9992
0.9343 0.0398 0.3175
0.2500 0.0367 0.9633
0.7500 0.9633 0.0367
0.7993 0.7604 0.7611
0.2993 0.7611 0.7604
0.2007 0.2396 0.2389
0.7007 0.2389 0.2396

=====

(9)
V5Te12Ru | Alexandria via LeMat-Bulk | PBE | relaxed; formation energy without anion corrections = -0.286 eV per atom; crystal system = monoclinic; energy = -5.4285 eV per atom; size of the total moment = 4.9 μB/cell
1.0
-4.8729 3.5697 1.8006
-5.7087 -1.1132 -2.2098
-4.1510 -7.7445 11.5843
Te V Ru
12 5 1
direct
0.2060 0.3328 0.3794
0.8736 0.0000 0.3800
0.6213 0.3202 0.1245
0.7940 0.6672 0.6206
0.4612 0.3328 0.6206
0.5388 0.6672 0.3793
0.3787 0.6798 0.8755
0.6879 0.0000 0.8937
0.9415 0.6798 0.1245
0.0585 0.3201 0.8755
0.1264 0.0000 0.6200
0.3121 0.0000 0.1063
0.6970 0.6060 0.0000
0.8322 0.3355 0.5000
0.5000 0.0000 0.5000
0.3030 0.3940 0.0000
0.1678 0.6645 0.5000
0.0000 0.0000 0.0000

=====

(10)
VTe3Ru | Alexandria via LeMat-Bulk | PBE | relaxed; formation energy without anion corrections = 0.786 eV per atom; crystal system = cubic; energy = -4.7781 eV per atom; size of the total moment = 1.8 μB/cell; excess energy over the best structure of this formula in the dataset = 0.0 meV per atom
1.0
-4.8242 -1.6810 0.9569
1.7955 -4.8481 0.5351
0.7195 0.8272 5.0806
Te V Ru
3 1 1
direct
0.0000 0.5000 0.0000
0.0000 0.0000 0.5000
0.5000 0.0000 0.0000
0.5000 0.5000 0.5000
0.0000 0.0000 0.0000

=====

(11)
VTe2Ru | Alexandria via LeMat-Bulk | PBE | relaxed; formation energy without anion corrections = 0.356 eV per atom; crystal system = trigonal; energy = -5.8131 eV per atom; size of the total moment = 0.2 μB/cell; excess energy over the best structure of this formula in the dataset = 155.4 meV per atom
1.0
1.9045 0.0000 8.7671
-0.9522 1.6493 8.7671
-0.9522 -1.6493 8.7671
Te V Ru
2 1 1
direct
0.0961 0.0961 0.0961
0.9039 0.9039 0.9039
0.5000 0.5000 0.5000
0.0000 0.0000 0.0000

=====

(12)
VTe2Ru | Alexandria via LeMat-Bulk | PBE | relaxed; formation energy without anion corrections = 0.201 eV per atom; crystal system = cubic; energy = -5.9685 eV per atom; size of the total moment = 0.0 μB/cell; excess energy over the best structure of this formula in the dataset = 0.0 meV per atom
1.0
-0.2179 -4.6188 0.7015
-3.9112 -1.9262 1.6927
-2.6800 -2.6604 -2.7591
Ru Te V
1 2 1
direct
0.5000 0.5000 0.5000
0.7500 0.7500 0.7500
0.2500 0.2500 0.2500
0.0000 0.0000 0.0000